VASP calculation (GGA-PBEsol) on a relaxed structure of Zn2Pt.

CIF file:
```
data_Zn2Pt
_chemical_formula_sum 'Zn16 Pt8'
_cell_length_a 3.784
_cell_length_b 3.784
_cell_length_c 23.272
_cell_angle_alpha 90.00
_cell_angle_beta 90.00
_cell_angle_gamma 90.00
_symmetry_space_group_name_H-M 'I 41/a m d'
_symmetry_Int_Tables_number 141
loop_
_symmetry_equiv_pos_as_xyz
'x,y,z'
'-x,-y,-z'
'-y+1/4,x+3/4,z+1/4'
'y+1/4,-x+3/4,-z+1/4'
'-x+1/2,-y,z+1/2'
'x+1/2,y,-z+1/2'
'y+1/4,-x+1/4,z+3/4'
'-y+1/4,x+1/4,-z+3/4'
'x,-y,-z'
'-x,y,z'
'-y+1/4,-x+1/4,-z+3/4'
'y+1/4,x+1/4,z+3/4'
'-x+1/2,y,-z+1/2'
'x+1/2,-y,z+1/2'
'y+1/4,x+3/4,-z+1/4'
'-y+1/4,-x+3/4,z+1/4'
'x+1/2,y+1/2,z+1/2'
'-x+1/2,-y+1/2,-z+1/2'
'-y+3/4,x+1/4,z+3/4'
'y+3/4,-x+1/4,-z+3/4'
'-x,-y+1/2,z'
'x,y+1/2,-z'
'y+3/4,-x+3/4,z+1/4'
'-y+3/4,x+3/4,-z+1/4'
'x+1/2,-y+1/2,-z+1/2'
'-x+1/2,y+1/2,z+1/2'
'-y+3/4,-x+3/4,-z+1/4'
'y+3/4,x+3/4,z+1/4'
'-x,y+1/2,-z'
'x,-y+1/2,z'
'y+3/4,x+1/4,-z+3/4'
'-y+3/4,-x+1/4,z+3/4'
loop_
_atom_site_label
_atom_site_fract_x
_atom_site_fract_y
_atom_site_fract_z
_atom_site_occupancy
Zn1 0.000 0.250 0.124 1
Zn2 0.000 0.250 0.289 1
Pt1 0.000 0.250 0.796 1
```

Output
Crystal system: tetragonal
Magnetization, μB/atom: 0.000
Calculated density, g cm⁻³: 12.99
Energy of formation, eV/atom: -0.422

***

VASP calculation (GGA-PBEsol) on a relaxed structure of Zn2Pt.

CIF file:
```
data_Zn2Pt
_chemical_formula_sum 'Zn2 Pt1'
_cell_length_a 4.1950
_cell_length_b 4.1950
_cell_length_c 2.7273
_cell_angle_alpha 90.00
_cell_angle_beta 90.00
_cell_angle_gamma 120.00
_symmetry_space_group_name_H-M 'P -3 m 1'
_symmetry_Int_Tables_number 164
_symmetry_space_group_name_Hall '-P 3 2"'
loop_
_atom_site_label
_atom_site_fract_x
_atom_site_fract_y
_atom_site_fract_z
_atom_site_occupancy
Zn1 0.3333 0.6667 0.3933 1
Pt1 0.0000 0.0000 0.0000 1
```

Output
Crystal system: trigonal
Magnetization, μB/atom: 0.000
Calculated density, g cm⁻³: 13.02
Energy of formation, eV/atom: -0.395

***

VASP calculation (GGA-PBEsol) on a relaxed structure of ZnPt3.

CIF file:
```
data_ZnPt3
_chemical_formula_sum 'Zn2 Pt6'
_cell_length_a 9.118
_cell_length_b 2.763
_cell_length_c 4.723
_cell_angle_alpha 90.00
_cell_angle_beta 101.86
_cell_angle_gamma 90.00
_symmetry_space_group_name_H-M 'C 1 2/m 1'
_symmetry_Int_Tables_number 12
loop_
_symmetry_equiv_pos_as_xyz
'x,y,z'
'-x,-y,-z'
'-x,y,-z'
'x,-y,z'
'x+1/2,y+1/2,z'
'-x+1/2,-y+1/2,-z'
'-x+1/2,y+1/2,-z'
'x+1/2,-y+1/2,z'
loop_
_atom_site_label
_atom_site_fract_x
_atom_site_fract_y
_atom_site_fract_z
_atom_site_occupancy
Zn1 0.000 0.000 0.000 1
Pt1 0.000 0.500 0.500 1
Pt2 0.244 0.500 0.247 1
```

Output
Crystal system: monoclinic
Magnetization, μB/atom: 0.000
Calculated density, g cm⁻³: 18.56
Energy of formation, eV/atom: -0.282

***

VASP calculation (GGA-PBEsol) on a relaxed structure of Zn2Pt.

CIF file:
```
data_Zn2Pt
_chemical_formula_sum 'Zn8 Pt4'
_cell_length_a 11.862
_cell_length_b 2.791
_cell_length_c 5.282
_cell_angle_alpha 90.00
_cell_angle_beta 104.96
_cell_angle_gamma 90.00
_symmetry_space_group_name_H-M 'C 1 2/m 1'
_symmetry_Int_Tables_number 12
loop_
_symmetry_equiv_pos_as_xyz
'x,y,z'
'-x,-y,-z'
'-x,y,-z'
'x,-y,z'
'x+1/2,y+1/2,z'
'-x+1/2,-y+1/2,-z'
'-x+1/2,y+1/2,-z'
'x+1/2,-y+1/2,z'
loop_
_atom_site_label
_atom_site_fract_x
_atom_site_fract_y
_atom_site_fract_z
_atom_site_occupancy
Zn1 0.002 0.000 0.251 1
Zn2 0.169 0.500 0.601 1
Pt1 0.160 0.500 0.097 1
```

Output
Crystal system: monoclinic
Magnetization, μB/atom: 0.000
Calculated density, g cm⁻³: 12.81
Energy of formation, eV/atom: -0.348